No. 1
A plane-wave DFT calculation with meta-GGA SCAN was carried out for a crystal of ZnRhAu2O relaxed with PBEsol.

Results
DOS(E_F) in states/eV/atom: 0.450
Space group: No. 123
Calculated total energy in eV/atom: -37.94
Formation energy (no corrections) in eV/atom: 0.424

Cell: 4.884 4.884 3.445 Å, 90.00 90.00 90.00°
Sites, in units of the cell vectors:
1 Zn 0.000 0.000 0.000
2 Rh 0.500 0.500 0.500
3 Au 0.000 0.500 0.000
4 Au 0.500 0.000 0.000
5 O 0.000 0.000 0.500

No. 2
A plane-wave DFT calculation with meta-GGA SCAN was carried out for a crystal of Ru3AuO relaxed with PBEsol.

Results
DOS(E_F) in states/eV/atom: 0.777
Space group: No. 221
Calculated total energy in eV/atom: -35.62
Formation energy (no corrections) in eV/atom: 0.351

Cell: 4.033 4.033 4.033 Å, 90.00 90.00 90.00°
Sites, in units of the cell vectors:
1 Ru 0.000 0.000 0.500
2 Ru 0.000 0.500 0.000
3 Ru 0.500 0.000 0.000
4 Au 0.500 0.500 0.500
5 O 0.000 0.000 0.000

No. 3
A plane-wave DFT calculation with meta-GGA SCAN was carried out for a crystal of ZnRu2AuO relaxed with PBEsol.

Results
DOS(E_F) in states/eV/atom: 0.693
Space group: No. 123
Calculated total energy in eV/atom: -30.72
Formation energy (no corrections) in eV/atom: 0.987

Cell: 4.783 4.783 3.465 Å, 90.00 90.00 90.00°
Sites, in units of the cell vectors:
1 Zn 0.000 0.000 0.000
2 Ru 0.000 0.500 0.000
3 Ru 0.500 0.000 0.000
4 Au 0.500 0.500 0.500
5 O 0.000 0.000 0.500

No. 4
A plane-wave DFT calculation with meta-GGA SCAN was carried out for a crystal of SbAuO3 relaxed with PBEsol.

Results
DOS(E_F) in states/eV/atom: 0.374
Space group: No. 221
Calculated total energy in eV/atom: -24.96
Formation energy (no corrections) in eV/atom: 0.063

Cell: 4.064 4.064 4.064 Å, 90.00 90.00 90.00°
Sites, in units of the cell vectors:
1 Sb 0.000 0.000 0.000
2 Au 0.500 0.500 0.500
3 O 0.000 0.500 0.500
4 O 0.500 0.000 0.500
5 O 0.500 0.500 0.000